! LiMg2W (PBE, relaxed); values from VASP
&SYSTEM
  ibrav = 0, nat = 4, ntyp = 3
/
ATOMIC_SPECIES
Li 6.94 Li.upf
Mg 24.30 Mg.upf
W 183.84 W.upf
CELL_PARAMETERS angstrom
2.776 0.000 0.000
0.000 2.776 0.000
0.000 0.000 9.410
ATOMIC_POSITIONS crystal
Li 0.500 0.500 0.736
Mg 0.000 0.000 0.991
Mg 0.500 0.500 0.270
W 0.000 0.000 0.503
! **Energy above the lowest structure with this stoichiometry**: 117 meV per atom
! **Symmetry**: P4mm (99)
! **ρ**: 5480 kg/m³
! **Formation energy from the elements**: 346.5 meV/atom
! **Raw total energy**: -16.67 eV for the cell shown
! **Volume**: 18.13 Å³/atom